Material: Pr3AlNi2
Method: DFT, PBE-GGA
State: relaxed

Cell: 5.809 11.665 9.416 Å, 90.00 111.91 90.00°
Space group P2_1/c (No. 14)
One atom of each set of equivalent atoms:
Pr 0.148 0.227 0.315
Pr 0.239 0.594 0.992
Pr 0.300 0.561 0.605
Al 0.443 0.691 0.342
Ni 0.185 0.508 0.278
Ni 0.311 0.135 0.617

Output
As for the crystal system: monoclinic. The energy of formation from the pure elements is -0.276 eV/atom.